# 1
# GGA-PBE Y2Sn2Pd, optimized geometry
# theoretical density	6.554	Mg/m³
# excess energy over the best structure of this formula in the dataset	0	meV per atom
# V	264	Å³ per cell
data_Y2Sn2Pd
_space_group_name_H-M_alt 'I 4/m m m'
_space_group_IT_number 139
_space_group_name_Hall '-I 4 2'
_cell_length_a 4.0231
_cell_length_b 4.0231
_cell_length_c 16.3308
_cell_angle_alpha 90.00
_cell_angle_beta 90.00
_cell_angle_gamma 90.00
loop_
_atom_site_label
_atom_site_type_symbol
_atom_site_fract_x
_atom_site_fract_y
_atom_site_fract_z
Y1 Y 0.0000 0.0000 0.0964
Sn1 Sn 0.0000 0.5000 0.2500
Pd1 Pd 0.0000 0.0000 0.5000

# 2
# GGA-PBE PmSmS2Cl2, optimized geometry
# theoretical density	4.497	Mg/m³
# V	159	Å³ per cell
data_PmSmS2Cl2
_space_group_name_H-M_alt 'P 4 m m'
_space_group_IT_number 99
_cell_length_a 4.8739
_cell_length_b 4.8739
_cell_length_c 6.6903
_cell_angle_alpha 90.00
_cell_angle_beta 90.00
_cell_angle_gamma 90.00
loop_
_space_group_symop_operation_xyz
'x,y,z'
'-y,x,z'
'-x,-y,z'
'y,-x,z'
'-x,y,z'
'y,x,z'
'x,-y,z'
'-y,-x,z'
loop_
_atom_site_label
_atom_site_type_symbol
_atom_site_fract_x
_atom_site_fract_y
_atom_site_fract_z
Pm1 Pm 0.0000 0.0000 0.0000
Sm1 Sm 0.5000 0.5000 0.3928
S1 S 0.0000 0.5000 0.1983
Cl1 Cl 0.0000 0.0000 0.5990
Cl2 Cl 0.5000 0.5000 0.7925

# 3
# GGA-PBE AcMoAs, optimized geometry
# theoretical density	9.091	Mg/m³
# excess energy over the best structure of this formula in the dataset	0	meV per atom
# V	291	Å³ per cell
data_AcMoAs
_space_group_name_H-M_alt 'F -4 3 m'
_space_group_IT_number 216
_space_group_name_Hall 'F -4 2 3'
_cell_length_a 6.6244
_cell_length_b 6.6244
_cell_length_c 6.6244
_cell_angle_alpha 90.00
_cell_angle_beta 90.00
_cell_angle_gamma 90.00
loop_
_atom_site_label
_atom_site_type_symbol
_atom_site_fract_x
_atom_site_fract_y
_atom_site_fract_z
Ac1 Ac 0.0000 0.0000 0.0000
Mo1 Mo 0.2500 0.2500 0.7500
As1 As 0.0000 0.0000 0.5000

# 4
# GGA-PBE HfNbSn2, optimized geometry
# theoretical density	9.742	Mg/m³
# V	347	Å³ per cell
data_HfNbSn2
_space_group_name_H-M_alt 'F -4 3 m'
_space_group_IT_number 216
_space_group_name_Hall 'F -4 2 3'
_cell_length_a 7.0265
_cell_length_b 7.0265
_cell_length_c 7.0265
_cell_angle_alpha 90.00
_cell_angle_beta 90.00
_cell_angle_gamma 90.00
loop_
_atom_site_label
_atom_site_type_symbol
_atom_site_fract_x
_atom_site_fract_y
_atom_site_fract_z
Hf1 Hf 0.0000 0.0000 0.0000
Nb1 Nb 0.2500 0.2500 0.7500
Sn1 Sn 0.0000 0.0000 0.5000
Sn2 Sn 0.2500 0.2500 0.2500

| no. | electronic total energy (Ry per atom) |
| --- | --- |
| 1 | -0.4051 |
| 2 | -0.4153 |
| 3 | -0.4602 |
| 4 | -0.4952 |